The following is a DFT calculation (PBE-GGA) of a geometry-optimized CoGeAsPt structure.

Summary:
E_form   -0.152 eV per atom
Space group   Cm (8)
Magnetic moment   0.00 μB/cell
Energy above the most stable polymorph in this dataset   163.6 meV/atom
Crystal system   monoclinic

Cell: 6.1531 2.8243 7.9639 Å, 90.00 104.51 90.00°
Element x y z (fractional)
1 Pt 0.3650 0.5000 0.6056
2 Pt 0.3650 0.0000 0.1056
3 Co 0.9635 0.5000 0.9859
4 Co 0.9635 0.0000 0.4859
5 As 0.0135 0.0000 0.2164
6 As 0.0135 0.5000 0.7164
7 Ge 0.5746 0.0000 0.4248
8 Ge 0.5746 0.5000 0.9248